# HoThBi, optimized geometry, DFT PBE
data_HoThBi
_cell_length_a 3.660
_cell_length_b 5.466
_cell_length_c 5.466
_cell_angle_alpha 120.00
_cell_angle_beta 90.00
_cell_angle_gamma 90.00
_symmetry_space_group_name_H-M 'P 1'
_symmetry_Int_Tables_number 1
_symmetry_space_group_name_Hall 'P 1'
loop_
_atom_site_label
_atom_site_type_symbol
_atom_site_fract_x
_atom_site_fract_y
_atom_site_fract_z
_atom_site_occupancy
Ho1 Ho 0.571 0.667 0.333 1
Th1 Th 0.057 0.000 0.000 1
Bi1 Bi 0.373 0.333 0.667 1
# Formation energy from the elements ... -0.118 eV/atom
# Electronic total energy ... -5.411 eV per atom
# Space-group type ... No. 156